An optimized crystal structure of NaSr2AgPt. Source: Alexandria via LeMat-Bulk, functional GGA-PBE.

Cell: 5.816 5.816 5.337 Å, 90.00 90.00 90.00°
Positions (direct):
Sr  0.000  0.500  0.000
Sr  0.500  0.000  0.000
Ag  0.000  0.000  0.500
Pt  0.000  0.000  0.000
Na  0.500  0.500  0.500

Calculated values
Volume in Å³/cell: 180.5
ρ in Mg/m³: 4.610
E_form in meV/atom: -250
DOS(E_F) in states/eV/cell: 3.7
Crystal system: tetragonal
Space group: No. 123

An optimized crystal structure of NaHI2O. Source: Alexandria via LeMat-Bulk, functional GGA-PBE.

Cell: 6.015 6.015 2.915 Å, 90.00 90.00 90.00°
Positions (direct):
Na  0.500  0.500  0.500
I  0.500  0.000  0.000
I  0.000  0.500  0.000
H  0.000  0.000  0.000
O  0.000  0.000  0.500

Calculated values
Volume in Å³/cell: 105.5
ρ in Mg/m³: 4.626
ΔE to the lowest computed polymorph in eV/atom: 0.000
DOS(E_F) in states/eV/cell: 4.0
Crystal system: tetragonal
Space group: No. 123

An optimized crystal structure of BaCe2PN5. Source: Alexandria via LeMat-Bulk, functional GGA-PBE.

Cell: 5.668 6.735 6.735 Å, 90.00 90.00 90.00°
Positions (direct):
N  0.779  0.873  0.373
N  0.500  0.500  0.500
N  0.500  0.000  0.000
N  0.221  0.373  0.127
N  0.779  0.373  0.127
N  0.221  0.873  0.373
N  0.221  0.627  0.873
N  0.221  0.127  0.627
N  0.779  0.627  0.873
N  0.779  0.127  0.627
Ce  0.500  0.684  0.184
Ce  0.500  0.316  0.816
Ce  0.500  0.184  0.316
Ce  0.500  0.816  0.684
Ba  0.000  0.000  0.000
Ba  0.000  0.500  0.500
P  0.000  0.500  0.000
P  0.000  0.000  0.500

Calculated values
Volume in Å³/cell: 257.1
ρ in Mg/m³: 6.699
ΔE_f (raw) in meV per atom: -894
DOS(E_F) in states/eV/cell: 1.1
Crystal system: tetragonal
Space group: No. 127

An optimized crystal structure of NbTe4Ir. Source: Alexandria via LeMat-Bulk, functional GGA-PBE.

Cell: 7.411 7.411 6.250 Å, 80.82 80.82 29.58°
Positions (direct):
Ir  0.500  0.500  0.000
Nb  0.000  0.000  0.500
Te  0.879  0.879  0.901
Te  0.121  0.121  0.099
Te  0.373  0.373  0.375
Te  0.627  0.627  0.625

Calculated values
Volume in Å³/cell: 167.2
ρ in Mg/m³: 7.903
ΔE to the lowest computed polymorph in eV/atom: 0.171
ΔE_f (raw) in meV per atom: -233
DOS(E_F) in states/eV/cell: 2.6
Crystal system: monoclinic
Space group: No. 12

An optimized crystal structure of CaSn3Te4. Source: Alexandria via LeMat-Bulk, functional GGA-PBE.

Cell: 4.532 7.866 7.866 Å, 109.40 90.00 90.00°
Positions (direct):
Te  0.000  0.751  0.751
Te  0.500  0.751  0.249
Te  0.500  0.249  0.751
Te  0.000  0.249  0.249
Ca  0.500  0.000  0.000
Sn  0.000  0.500  0.000
Sn  0.500  0.500  0.500
Sn  0.000  0.000  0.500

Calculated values
Volume in Å³/cell: 264.5
ρ in Mg/m³: 5.692
ΔE_f (raw) in meV per atom: -606
DOS(E_F) in states/eV/cell: 0.0
Crystal system: orthorhombic
Space group: No. 65

An optimized crystal structure of LiCrPb. Source: Alexandria via LeMat-Bulk, functional GGA-PBE.

Cell: 5.150 5.150 5.150 Å, 139.67 136.56 60.76°
Each line ends with the local moment (μB).
Positions (direct):
Pb  0.667  0.667  0.000  -0.08
Li  0.334  0.334  0.000  0.02
Cr  0.999  0.999  0.000  3.81

Calculated values
Volume in Å³/cell: 60.1
ρ in Mg/m³: 7.352
ΔE to the lowest computed polymorph in eV/atom: 0.000
E_form in meV/atom: 243
DOS(E_F) in states/eV/cell: 0.7
Crystal system: orthorhombic
Space group: No. 44

An optimized crystal structure of ZrAlNi. Source: Alexandria via LeMat-Bulk, functional GGA-PBE.

Cell: 6.337 6.337 4.503 Å, 90.00 90.00 120.00°
Positions (direct):
Zr  0.333  0.667  0.000
Zr  0.667  0.333  0.000
Zr  0.000  0.000  0.500
Ni  0.000  0.768  0.000
Ni  0.768  0.000  0.000
Ni  0.232  0.232  0.000
Al  0.530  0.000  0.500
Al  0.000  0.530  0.500
Al  0.470  0.470  0.500

Calculated values
Volume in Å³/cell: 156.6
ρ in Mg/m³: 5.628
E_form in meV/atom: -292
DOS(E_F) in states/eV/cell: 6.0
Crystal system: hexagonal
Space group: No. 189

An optimized crystal structure of TbPuAlIn. Source: Alexandria via LeMat-Bulk, functional GGA-PBE.

Cell: 5.238 5.238 5.238 Å, 60.00 60.00 60.00°
Each line ends with the local moment (μB).
Positions (direct):
Pu  0.500  0.500  0.500  5.34
Tb  0.000  0.000  0.000  0.10
In  0.250  0.250  0.250  -0.01
Al  0.750  0.750  0.750  -0.02

Calculated values
Volume in Å³/cell: 101.6
ρ in Mg/m³: 8.899
E_form in meV/atom: -225
DOS(E_F) in states/eV/cell: 7.8
Crystal system: cubic
Space group: No. 216

An optimized crystal structure of DyZn5Ni2. Source: Alexandria via LeMat-Bulk, functional GGA-PBE.

Cell: 3.732 6.210 6.210 Å, 72.86 72.51 72.51°
Positions (direct):
Zn  0.654  0.534  0.159
Zn  0.346  0.841  0.466
Zn  0.346  0.466  0.841
Zn  0.654  0.159  0.534
Zn  0.000  0.500  0.500
Ni  0.737  0.763  0.763
Ni  0.263  0.237  0.237
Dy  0.000  0.000  0.000

Calculated values
Volume in Å³/cell: 127.6
ρ in Mg/m³: 7.899
E_form in meV/atom: -271
DOS(E_F) in states/eV/cell: 4.6
Crystal system: orthorhombic
Space group: No. 71

An optimized crystal structure of Pm2GeB2Ru5. Source: Alexandria via LeMat-Bulk, functional GGA-PBE.

Cell: 3.133 9.688 9.688 Å, 90.00 90.00 90.00°
Positions (direct):
Ru  0.500  0.218  0.068
Ru  0.500  0.432  0.282
Ru  0.500  0.782  0.932
Ru  0.500  0.500  0.000
Ru  0.500  0.718  0.432
Ru  0.500  0.000  0.500
Ru  0.500  0.282  0.568
Ru  0.500  0.932  0.218
Ru  0.500  0.068  0.782
Ru  0.500  0.568  0.718
Pm  0.000  0.323  0.823
Pm  0.000  0.823  0.677
Pm  0.000  0.677  0.177
Pm  0.000  0.177  0.323
B  0.000  0.122  0.622
B  0.000  0.878  0.378
B  0.000  0.622  0.878
B  0.000  0.378  0.122
Ge  0.000  0.000  0.000
Ge  0.000  0.500  0.500

Calculated values
Volume in Å³/cell: 294.1
ρ in Mg/m³: 10.047
E_form in meV/atom: -371
DOS(E_F) in states/eV/cell: 17.4
Crystal system: tetragonal
Space group: No. 127

An optimized crystal structure of MnIn2. Source: Alexandria via LeMat-Bulk, functional GGA-PBE.

Cell: 6.736 6.736 6.736 Å, 153.07 153.07 38.45°
Each line ends with the local moment (μB).
Positions (direct):
In  0.646  0.646  0.000  -0.03
In  0.354  0.354  0.000  -0.03
Mn  0.000  0.000  0.000  3.38

Calculated values
Volume in Å³/cell: 62.6
ρ in Mg/m³: 7.552
E_form in meV/atom: 223
DOS(E_F) in states/eV/cell: 1.5
Crystal system: tetragonal
Space group: No. 139